Model A:
Here is a geometry-optimized LiP structure from Alexandria. Energies are from GGA-PBE.

Space-group type ... C2/m, No. 12
Density of states at the Fermi level ... 0.39 states/eV/atom
Volume ... 15.53 A^3/atom
Total magnetization ... 0.000 μB/atom

a = 6.0118 Å, b = 6.0118 Å, c = 4.2143 Å
α = 110.52°, β = 110.52°, γ = 25.91°
Last column: nearest neighbours and their distance in Å.
Element x y z (fractional)
P1 0.5223 0.5223 0.5250  1 P 2.25
Li1 0.9691 0.9691 0.9718  5 P 2.57-2.64, 2 Li 2.70
Li2 0.2809 0.2809 0.2782  5 P 2.57-2.64, 2 Li 2.70
P2 0.7277 0.7277 0.7250  1 P 2.25

Model B:
Here is a geometry-optimized LiP structure from Alexandria. Energies are from GGA-PBE.

Space-group type ... F-43m, No. 216
Density of states at the Fermi level ... 1.23 states/eV/atom
Volume ... 21.21 A^3/atom
Total magnetization ... 0.000 μB/atom

a = 5.5358 Å, b = 5.5358 Å, c = 5.5358 Å
α = 90.00°, β = 90.00°, γ = 90.00°
Last column: nearest neighbours and their distance in Å.
Element x y z (fractional)
Li1 0.7500 0.7500 0.2500  4 P 2.40
P1 0.0000 0.0000 0.0000  4 Li 2.40
P2 0.5000 0.5000 0.0000  4 Li 2.40
Li2 0.2500 0.2500 0.2500  4 P 2.40
Li3 0.7500 0.2500 0.7500  4 P 2.40
P3 0.0000 0.5000 0.5000  4 Li 2.40
Li4 0.2500 0.7500 0.7500  4 P 2.40
P4 0.5000 0.0000 0.5000  4 Li 2.40

Least stable: model B

Model A:
Here is a geometry-optimized LiP structure from Alexandria. Energies are from GGA-PBE.

Space-group type ... I4_1/amd, No. 141
Density of states at the Fermi level ... 0.49 states/eV/atom
Volume ... 13.98 A^3/atom
Total magnetization ... 0.000 μB/atom

a = 4.8889 Å, b = 4.8889 Å, c = 4.8889 Å
α = 135.84°, β = 135.84°, γ = 64.22°
Last column: nearest neighbours and their distance in Å.
Element x y z (fractional)
P1 0.7500 0.2500 0.5000  8 Li 2.60-2.77, 4 P 2.77
Li1 0.2500 0.7500 0.5000  8 P 2.60-2.77, 4 Li 2.77
P2 0.5000 0.5000 0.0000  8 Li 2.60-2.77, 4 P 2.77
Li2 0.0000 0.0000 0.0000  8 P 2.60-2.77, 4 Li 2.77

Model B:
Here is a geometry-optimized LiP structure from Alexandria. Energies are from GGA-PBE.

Space-group type ... Amm2, No. 38
Density of states at the Fermi level ... 0.27 states/eV/atom
Volume ... 16.61 A^3/atom
Total magnetization ... 0.000 μB/atom

a = 3.4864 Å, b = 3.4937 Å, c = 10.9116 Å
α = 90.00°, β = 90.00°, γ = 90.00°
Last column: nearest neighbours and their distance in Å.
Element x y z (fractional)
Li1 0.0000 0.5000 0.4493  8 P 2.60-2.77, 1 Li 2.71
Li2 0.0000 0.5000 0.6977  6 P 2.61-2.87, 1 Li 2.71
Li3 0.0000 0.0000 0.1977  6 P 2.61-2.87, 1 Li 2.71
P1 0.5000 0.5000 0.0638  1 P 2.05
Li4 0.0000 0.0000 0.9493  8 P 2.60-2.77, 1 Li 2.71
P2 0.5000 0.0000 0.3754  1 P 2.05
P3 0.5000 0.5000 0.8754  1 P 2.05
P4 0.5000 0.0000 0.5638  1 P 2.05

Model C:
Here is a geometry-optimized LiP structure from Alexandria. Energies are from GGA-PBE.

Space-group type ... P6_3/m, No. 176
Volume ... 26.01 A^3/atom
Total magnetization ... 0.000 μB/atom

a = 9.4700 Å, b = 9.4700 Å, c = 4.0184 Å
α = 90.00°, β = 90.00°, γ = 120.00°
Last column: nearest neighbours and their distance in Å.
Element x y z (fractional)
P1 0.0033 0.5562 0.7500  2 P 2.26, 2 Li 2.47-2.48
P2 0.5528 0.9967 0.7500  2 P 2.26, 2 Li 2.47-2.48
Li1 0.8289 0.5763 0.2500  4 P 2.47-2.67
Li2 0.7474 0.1711 0.2500  4 P 2.47-2.67
Li3 0.4237 0.2526 0.2500  4 P 2.47-2.67
Li4 0.5763 0.7474 0.7500  4 P 2.47-2.67
P3 0.4438 0.4472 0.7500  2 P 2.26, 2 Li 2.47-2.48
P4 0.9967 0.4438 0.2500  2 P 2.26, 2 Li 2.47-2.48
Li5 0.1711 0.4237 0.7500  4 P 2.47-2.67
P5 0.5562 0.5528 0.2500  2 P 2.26, 2 Li 2.47-2.48
Li6 0.2526 0.8289 0.7500  4 P 2.47-2.67
P6 0.4472 0.0033 0.2500  2 P 2.26, 2 Li 2.47-2.48

Least stable: model A

Model A:
Here is a geometry-optimized LiP structure from Alexandria. Energies are from GGA-PBE.

Space-group type ... Cmcm, No. 63
Density of states at the Fermi level ... 0.26 states/eV/atom
Volume ... 14.98 A^3/atom
Total magnetization ... 0.000 μB/atom

a = 4.7419 Å, b = 4.7419 Å, c = 4.7103 Å
α = 90.00°, β = 90.00°, γ = 145.54°
Last column: nearest neighbours and their distance in Å.
Element x y z (fractional)
P1 0.9463 0.0537 0.7500  3 Li 2.47-2.49, 2 P 2.55
Li1 0.3290 0.6710 0.2500  3 P 2.47-2.49
P2 0.0537 0.9463 0.2500  3 Li 2.47-2.49, 2 P 2.55
Li2 0.6710 0.3290 0.7500  3 P 2.47-2.49

Model B:
Here is a geometry-optimized LiP structure from Alexandria. Energies are from GGA-PBE.

Space-group type ... R-3m, No. 166
Density of states at the Fermi level ... 0.45 states/eV/atom
Volume ... 17.61 A^3/atom
Total magnetization ... 0.000 μB/atom

a = 8.1049 Å, b = 8.1049 Å, c = 8.1049 Å
α = 22.85°, β = 22.85°, γ = 22.85°
Last column: nearest neighbours and their distance in Å.
Element x y z (fractional)
Li1 0.7636 0.7636 0.7636  3 P 2.71
P1 0.2365 0.2365 0.2365  3 P 2.28
P2 0.5135 0.5135 0.5135  3 P 2.28
Li2 0.9864 0.9864 0.9864  3 P 2.71

Model C:
Here is a geometry-optimized LiP structure from Alexandria. Energies are from GGA-PBE.

Space-group type ... P4/nmm, No. 129
Density of states at the Fermi level ... 0.21 states/eV/atom
Volume ... 14.43 A^3/atom
Total magnetization ... 0.000 μB/atom

a = 3.4249 Å, b = 3.4249 Å, c = 4.9202 Å
α = 90.00°, β = 90.00°, γ = 90.00°
Last column: nearest neighbours and their distance in Å.
Element x y z (fractional)
Li1 0.0000 0.0000 0.0018  2 P 2.33-2.59
Li2 0.5000 0.5000 0.2482  2 P 2.33-2.59
P1 0.5000 0.5000 0.7227  2 Li 2.33-2.59, 4 P 2.61
P2 0.0000 0.0000 0.5273  2 Li 2.33-2.59, 4 P 2.61

Least stable: model B

Model A:
Here is a geometry-optimized LiP structure from Alexandria. Energies are from GGA-PBE.

Space-group type ... R-3m, No. 166
Density of states at the Fermi level ... 0.08 states/eV/atom
Volume ... 16.09 A^3/atom
Total magnetization ... 0.000 μB/atom

a = 4.8198 Å, b = 4.8198 Å, c = 4.8198 Å
α = 52.03°, β = 52.03°, γ = 52.03°
Last column: nearest neighbours and their distance in Å.
Element x y z (fractional)
Li1 0.1076 0.1076 0.1076  7 P 2.59-2.90, 4 Li 2.68-2.85
P1 0.6846 0.6846 0.6846  3 P 2.48, 4 Li 2.59-2.69
Li2 0.8924 0.8924 0.8924  7 P 2.59-2.90, 4 Li 2.68-2.85
P2 0.3154 0.3154 0.3154  3 P 2.48, 4 Li 2.59-2.69

Model B:
Here is a geometry-optimized LiP structure from Alexandria. Energies are from GGA-PBE.

Space-group type ... Cm, No. 8
Density of states at the Fermi level ... 0.27 states/eV/atom
Volume ... 14.85 A^3/atom
Total magnetization ... 0.000 μB/atom

a = 5.0920 Å, b = 5.0920 Å, c = 8.1151 Å
α = 61.16°, β = 61.16°, γ = 29.25°
Last column: nearest neighbours and their distance in Å.
Element x y z (fractional)
P1 0.1366 0.1366 0.9002  1 P 2.18
Li1 0.6011 0.6011 0.2169  2 Li 2.57, 7 P 2.57-2.74
Li2 0.4191 0.4191 0.8410  2 Li 2.57, 7 P 2.57-2.74
P2 0.8987 0.8987 0.1416  1 P 2.18
P3 0.0251 0.0251 0.5256  2 P 2.57, 7 Li 2.57-2.64
Li3 0.7527 0.7527 0.5414  2 Li 2.57, 6 P 2.62-2.85

Model C:
Here is a geometry-optimized LiP structure from Alexandria. Energies are from GGA-PBE.

Space-group type ... P2_1/m, No. 11
Density of states at the Fermi level ... 0.28 states/eV/atom
Volume ... 15.99 A^3/atom
Total magnetization ... 0.000 μB/atom

a = 4.3462 Å, b = 3.2525 Å, c = 5.0005 Å
α = 90.00°, β = 115.19°, γ = 90.00°
Last column: nearest neighbours and their distance in Å.
Element x y z (fractional)
P1 0.1433 0.2500 0.1580  2 P 2.24
Li1 0.7043 0.7500 0.2758  6 P 2.52-2.78
Li2 0.2957 0.2500 0.7242  6 P 2.52-2.78
P2 0.8567 0.7500 0.8420  2 P 2.24

Least stable: model A

Model A:
Here is a geometry-optimized LiP structure from Alexandria. Energies are from GGA-PBE.

Space-group type ... Cm, No. 8
Density of states at the Fermi level ... 0.15 states/eV/atom
Volume ... 16.24 A^3/atom
Total magnetization ... 0.000 μB/atom

a = 4.8814 Å, b = 4.8814 Å, c = 7.0427 Å
α = 65.99°, β = 65.99°, γ = 40.11°
Last column: nearest neighbours and their distance in Å.
Element x y z (fractional)
Li1 0.4353 0.4353 0.6731  3 P 2.64-2.65, 1 Li 2.73
Li2 0.9972 0.9972 0.9786  4 P 2.44-2.48
Li3 0.2731 0.2731 0.4276  5 P 2.58-2.89, 1 Li 2.73
P1 0.7090 0.7090 0.0551  3 P 2.22-2.32, 1 Li 2.46
P2 0.6943 0.6943 0.7488  1 P 2.22, 2 Li 2.48
P3 0.0579 0.0579 0.2833  2 P 2.32, 2 Li 2.44-2.58

Model B:
Here is a geometry-optimized LiP structure from Alexandria. Energies are from GGA-PBE.

Space-group type ... P4/nmm, No. 129
Density of states at the Fermi level ... 0.59 states/eV/atom
Volume ... 15.97 A^3/atom
Total magnetization ... 0.000 μB/atom

a = 2.4709 Å, b = 2.4709 Å, c = 10.4666 Å
α = 90.00°, β = 90.00°, γ = 90.00°
Last column: nearest neighbours and their distance in Å.
Element x y z (fractional)
P1 0.2500 0.2500 0.6897  4 P 2.47, 4 Li 2.61
Li1 0.7500 0.7500 0.8745  4 Li 2.47, 4 P 2.61
P2 0.7500 0.7500 0.3103  4 P 2.47, 4 Li 2.61
Li2 0.2500 0.2500 0.1255  4 Li 2.47, 4 P 2.61

Least stable: model B